KYH | PBE | relaxed

Output
- Energy: -3.716 eV per atom
- Space-group type: C2/m, No. 12

```
6
Lattice="3.248 -1.872 0.000 3.248 1.872 0.000 -2.178 0.000 13.772" Properties=species:S:1:pos:R:3 pbc="T T T"
K -0.028 0.000 4.826
K 4.346 0.000 8.946
Y -0.013 0.000 12.336
Y 4.331 0.000 1.436
H 2.168 0.000 2.240
H 2.150 0.000 11.532
```